Run i
{"formula": "CaRuRh2", "functional": "meta-GGA SCAN", "state": "single point on PBEsol structure", "space_group": "P4/mmm (123)", "dos_at_fermi_per_ev_cell": 4.09, "magnetic_moment_mub_per_fu": 1.371, "lattice_angstrom": [[4.0368, 0.0000, 0.0000], [0.0000, 4.0368, 0.0000], [0.0000, 0.0000, 3.7863]], "species": ["Ca", "Ru", "Rh", "Rh"], "fractional_positions": [[0.0000, 0.0000, 0.0000], [0.5000, 0.5000, 0.0000], [0.0000, 0.5000, 0.5000], [0.5000, 0.0000, 0.5000]]}


Run ii
{"formula": "CaRuRh2", "functional": "meta-GGA SCAN", "state": "single point on PBEsol structure", "space_group": "I-4m2 (119)", "dos_at_fermi_per_ev_cell": 8.42, "magnetic_moment_mub_per_fu": 0.000, "lattice_angstrom": [[3.9248, 0.0000, 0.0000], [0.0000, 3.9248, 0.0000], [0.0000, 0.0000, 7.9920]], "species": ["Ca", "Ca", "Ru", "Ru", "Rh", "Rh", "Rh", "Rh"], "fractional_positions": [[0.0000, 0.0000, 0.0000], [0.5000, 0.5000, 0.5000], [0.0000, 0.5000, 0.7500], [0.5000, 0.0000, 0.2500], [0.0000, 0.0000, 0.5000], [0.0000, 0.5000, 0.2500], [0.5000, 0.0000, 0.7500], [0.5000, 0.5000, 0.0000]]}


Run iii
{"formula": "CaRuRh2", "functional": "meta-GGA SCAN", "state": "single point on PBEsol structure", "space_group": "Pmmm (47)", "dos_at_fermi_per_ev_cell": 4.15, "magnetic_moment_mub_per_fu": 1.577, "lattice_angstrom": [[2.8733, 0.0000, 0.0000], [0.0000, 4.5669, 0.0000], [0.0000, 0.0000, 4.6852]], "species": ["Ca", "Ru", "Rh", "Rh"], "fractional_positions": [[0.0000, 0.0000, 0.0000], [0.5000, 0.0000, 0.5000], [0.0000, 0.5000, 0.5000], [0.5000, 0.5000, 0.0000]]}


Energy above the most stable structure, in eV/atom: run i 0.000; run ii 0.040; run iii 0.081


Run i
{"formula": "SrCaRh", "functional": "meta-GGA SCAN", "state": "single point on PBEsol structure", "space_group": "I4mm (107)", "dos_at_fermi_per_ev_cell": 3.39, "magnetic_moment_mub_per_fu": 0.009, "lattice_angstrom": [[3.5272, 0.0000, 0.0000], [0.0000, 3.5272, 0.0000], [0.0000, 0.0000, 13.6856]], "species": ["Sr", "Sr", "Ca", "Ca", "Rh", "Rh"], "fractional_positions": [[0.0000, 0.0000, 0.0000], [0.5000, 0.5000, 0.5000], [0.0000, 0.0000, 0.2436], [0.5000, 0.5000, 0.7436], [0.0000, 0.0000, 0.6307], [0.5000, 0.5000, 0.1307]]}


Run ii
{"formula": "SrCaRh", "functional": "meta-GGA SCAN", "state": "single point on PBEsol structure", "space_group": "F-43m (216)", "dos_at_fermi_per_ev_cell": 11.51, "magnetic_moment_mub_per_fu": 0.000, "lattice_angstrom": [[6.9997, 0.0000, 0.0000], [0.0000, 6.9997, 0.0000], [0.0000, 0.0000, 6.9997]], "species": ["Sr", "Sr", "Sr", "Sr", "Ca", "Ca", "Ca", "Ca", "Rh", "Rh", "Rh", "Rh"], "fractional_positions": [[0.0000, 0.0000, 0.0000], [0.0000, 0.5000, 0.5000], [0.5000, 0.0000, 0.5000], [0.5000, 0.5000, 0.0000], [0.0000, 0.0000, 0.5000], [0.0000, 0.5000, 0.0000], [0.5000, 0.0000, 0.0000], [0.5000, 0.5000, 0.5000], [0.2500, 0.2500, 0.2500], [0.2500, 0.7500, 0.7500], [0.7500, 0.2500, 0.7500], [0.7500, 0.7500, 0.2500]]}


Energy above the most stable structure, in eV/atom: run i 0.000; run ii 0.030


Run i
{"formula": "Ca2RhW", "functional": "meta-GGA SCAN", "state": "single point on PBEsol structure", "space_group": "P4mm (99)", "dos_at_fermi_per_ev_cell": 4.56, "magnetic_moment_mub_per_fu": 0.089, "lattice_angstrom": [[3.1675, 0.0000, 0.0000], [0.0000, 3.1675, 0.0000], [0.0000, 0.0000, 9.1209]], "species": ["Ca", "Ca", "Rh", "W"], "fractional_positions": [[0.0000, 0.0000, 0.0000], [0.5000, 0.5000, 0.3802], [0.0000, 0.0000, 0.6126], [0.5000, 0.5000, 0.7517]]}


Run ii
{"formula": "Ca2RhW", "functional": "meta-GGA SCAN", "state": "single point on PBEsol structure", "space_group": "P4/mmm (123)", "dos_at_fermi_per_ev_cell": 4.04, "magnetic_moment_mub_per_fu": 0.000, "lattice_angstrom": [[3.9890, 0.0000, 0.0000], [0.0000, 3.9890, 0.0000], [0.0000, 0.0000, 4.7999]], "species": ["Ca", "Ca", "Rh", "W"], "fractional_positions": [[0.0000, 0.5000, 0.0000], [0.5000, 0.0000, 0.0000], [0.0000, 0.0000, 0.5000], [0.5000, 0.5000, 0.5000]]}


Energy above the most stable structure, in eV/atom: run i 0.000; run ii 0.485


Run i
{"formula": "CaZr2Rh", "functional": "meta-GGA SCAN", "state": "single point on PBEsol structure", "space_group": "R-3m (166)", "dos_at_fermi_per_ev_cell": 13.39, "magnetic_moment_mub_per_fu": 0.000, "lattice_angstrom": [[3.4017, 0.0000, 0.0000], [-1.7009, 2.9460, 0.0000], [0.0000, 0.0000, 28.3863]], "species": ["Ca", "Ca", "Ca", "Zr", "Zr", "Zr", "Zr", "Zr", "Zr", "Rh", "Rh", "Rh"], "fractional_positions": [[0.0000, 0.0000, 0.0000], [0.3333, 0.6667, 0.6667], [0.6667, 0.3333, 0.3333], [0.0000, 0.0000, 0.2283], [0.0000, 0.0000, 0.7717], [0.3333, 0.6667, 0.4384], [0.3333, 0.6667, 0.8949], [0.6667, 0.3333, 0.1051], [0.6667, 0.3333, 0.5616], [0.0000, 0.0000, 0.5000], [0.3333, 0.6667, 0.1667], [0.6667, 0.3333, 0.8333]]}


Run ii
{"formula": "CaZr2Rh", "functional": "meta-GGA SCAN", "state": "single point on PBEsol structure", "space_group": "Cmmm (65)", "dos_at_fermi_per_ev_cell": 6.64, "magnetic_moment_mub_per_fu": 0.000, "lattice_angstrom": [[5.4849, 0.0000, 0.0000], [0.0000, 9.6754, 0.0000], [0.0000, 0.0000, 3.0518]], "species": ["Ca", "Ca", "Zr", "Zr", "Zr", "Zr", "Rh", "Rh"], "fractional_positions": [[0.0000, 0.0000, 0.0000], [0.5000, 0.5000, 0.0000], [0.2500, 0.2500, 0.5000], [0.2500, 0.7500, 0.5000], [0.7500, 0.2500, 0.5000], [0.7500, 0.7500, 0.5000], [0.0000, 0.5000, 0.0000], [0.5000, 0.0000, 0.0000]]}


Energy above the most stable structure, in eV/atom: run i 0.000; run ii 0.261


Run i
{"formula": "Ca2ScRu", "functional": "meta-GGA SCAN", "state": "single point on PBEsol structure", "space_group": "P4/mmm (123)", "dos_at_fermi_per_ev_cell": 3.66, "magnetic_moment_mub_per_fu": 0.000, "lattice_angstrom": [[4.2271, 0.0000, 0.0000], [0.0000, 4.2271, 0.0000], [0.0000, 0.0000, 4.9475]], "species": ["Ca", "Ca", "Sc", "Ru"], "fractional_positions": [[0.0000, 0.5000, 0.0000], [0.5000, 0.0000, 0.0000], [0.0000, 0.0000, 0.5000], [0.5000, 0.5000, 0.5000]]}


Run ii
{"formula": "Ca2ScRu", "functional": "meta-GGA SCAN", "state": "single point on PBEsol structure", "space_group": "I4/mmm (139)", "dos_at_fermi_per_ev_cell": 5.05, "magnetic_moment_mub_per_fu": 0.000, "lattice_angstrom": [[4.2168, 0.0000, 0.0000], [0.0000, 4.2168, 0.0000], [0.0000, 0.0000, 9.9829]], "species": ["Ca", "Ca", "Ca", "Ca", "Sc", "Sc", "Ru", "Ru"], "fractional_positions": [[0.0000, 0.5000, 0.2500], [0.0000, 0.5000, 0.7500], [0.5000, 0.0000, 0.2500], [0.5000, 0.0000, 0.7500], [0.0000, 0.0000, 0.0000], [0.5000, 0.5000, 0.5000], [0.0000, 0.0000, 0.5000], [0.5000, 0.5000, 0.0000]]}


Run iii
{"formula": "Ca2ScRu", "functional": "meta-GGA SCAN", "state": "single point on PBEsol structure", "space_group": "Immm (71)", "dos_at_fermi_per_ev_cell": 5.97, "magnetic_moment_mub_per_fu": 0.001, "lattice_angstrom": [[3.2539, 0.0000, 0.0000], [0.0000, 4.1654, 0.0000], [0.0000, 0.0000, 16.2299]], "species": ["Ca", "Ca", "Ca", "Ca", "Sc", "Sc", "Ru", "Ru"], "fractional_positions": [[0.0000, 0.0000, 0.1561], [0.0000, 0.0000, 0.8439], [0.5000, 0.5000, 0.3439], [0.5000, 0.5000, 0.6561], [0.0000, 0.5000, 0.0000], [0.5000, 0.0000, 0.5000], [0.0000, 0.5000, 0.5000], [0.5000, 0.0000, 0.0000]]}


Energy above the most stable structure, in eV/atom: run i 0.342; run ii 0.355; run iii 0.000


Run i
{"formula": "Ca2ScRu", "functional": "meta-GGA SCAN", "state": "single point on PBEsol structure", "space_group": "Cmmm (65)", "dos_at_fermi_per_ev_cell": 7.75, "magnetic_moment_mub_per_fu": 0.000, "lattice_angstrom": [[5.7421, 0.0000, 0.0000], [0.0000, 9.3282, 0.0000], [0.0000, 0.0000, 3.3655]], "species": ["Ca", "Ca", "Ca", "Ca", "Sc", "Sc", "Ru", "Ru"], "fractional_positions": [[0.2500, 0.2500, 0.0000], [0.2500, 0.7500, 0.0000], [0.7500, 0.2500, 0.0000], [0.7500, 0.7500, 0.0000], [0.0000, 0.0000, 0.5000], [0.5000, 0.5000, 0.5000], [0.0000, 0.5000, 0.5000], [0.5000, 0.0000, 0.5000]]}


Run ii
{"formula": "Ca2ScRu", "functional": "meta-GGA SCAN", "state": "single point on PBEsol structure", "space_group": "Cm (8)", "dos_at_fermi_per_ev_cell": 6.05, "magnetic_moment_mub_per_fu": 0.000, "lattice_angstrom": [[7.5662, 0.0000, 0.0000], [0.0000, 4.3543, 0.0000], [-2.5120, 0.0000, 6.6695]], "species": ["Ca", "Ca", "Ca", "Ca", "Sc", "Sc", "Ru", "Ru"], "fractional_positions": [[0.0000, 0.0000, 0.0000], [0.1963, 0.0000, 0.5912], [0.5000, 0.5000, 0.0000], [0.6963, 0.5000, 0.5912], [0.2647, 0.5000, 0.2935], [0.7647, 0.0000, 0.2935], [0.4313, 0.0000, 0.2923], [0.9313, 0.5000, 0.2923]]}


Energy above the most stable structure, in eV/atom: run i 0.481; run ii 0.000